(A)
Material: Cs2WO4
Method: DFT, GGA+U
State: relaxed

Calculated values
volume = 347.4 Å³ per cell

Cell: 7.6265 7.6265 8.4358 Å, 113.46 113.46 52.17°
Sites, in units of the cell vectors:
Cs (0.0143, 0.0143, 0.2412)
Cs (0.3425, 0.3425, 0.2529)
Cs (0.6575, 0.6575, 0.7471)
Cs (0.9857, 0.9857, 0.7588)
W (0.3257, 0.3257, 0.7754)
W (0.6743, 0.6743, 0.2246)
O (0.1351, 0.5804, 0.9130)
O (0.1793, 0.1793, 0.6324)
O (0.4035, 0.4035, 0.6474)
O (0.4196, 0.8649, 0.0870)
O (0.5804, 0.1351, 0.9130)
O (0.5965, 0.5965, 0.3526)
O (0.8207, 0.8207, 0.3676)
O (0.8649, 0.4196, 0.0870)

(B)
Material: Cs2WO4
Method: DFT, GGA+U
State: relaxed

Calculated values
volume = 384.1 Å³ per cell

Cell: 6.8872 7.1766 8.3260 Å, 90.00 111.03 90.00°
Sites, in units of the cell vectors:
Cs (0.1530, 0.2500, 0.4968)
Cs (0.3132, 0.2500, 0.0658)
Cs (0.6868, 0.7500, 0.9342)
Cs (0.8470, 0.7500, 0.5032)
W (0.2594, 0.7500, 0.2929)
W (0.7406, 0.2500, 0.7071)
O (0.0928, 0.5447, 0.2331)
O (0.0928, 0.9553, 0.2331)
O (0.3929, 0.7500, 0.5254)
O (0.4499, 0.7500, 0.1878)
O (0.5501, 0.2500, 0.8122)
O (0.6071, 0.2500, 0.4746)
O (0.9072, 0.0447, 0.7669)
O (0.9072, 0.4553, 0.7669)

Which structure is the most stable? The one labeled (A).

(A)
Material: CsWO2
Method: DFT, GGA+U
State: relaxed

Calculated values
volume = 92.2 Å³ per cell

Cell: 8.0183 8.0183 8.0183 Å, 26.76 26.76 26.76°
Sites, in units of the cell vectors:
Cs (0.0000, 0.0000, 0.0000)
W (0.5000, 0.5000, 0.5000)
O (0.4205, 0.4205, 0.4205)
O (0.5795, 0.5795, 0.5795)

(B)
Material: CsWO2
Method: DFT, GGA+U
State: relaxed

Calculated values
volume = 65.2 Å³ per cell

Cell: 4.5167 4.5167 4.5167 Å, 60.00 60.00 60.00°
Sites, in units of the cell vectors:
Cs (0.0000, 0.0000, 0.0000)
W (0.5000, 0.5000, 0.5000)
O (0.2500, 0.2500, 0.2500)
O (0.7500, 0.7500, 0.7500)

Which structure is the most stable? The one labeled (A).